Below is a relaxed structure of LiCd2B, with properties calculated at the PBE level.

Cell and atoms, written as CIF:
```
data_LiCd2B
_chemical_formula_sum 'Li2 Cd4 B2'
_cell_length_a 5.458
_cell_length_b 5.458
_cell_length_c 7.759
_cell_angle_alpha 69.41
_cell_angle_beta 69.41
_cell_angle_gamma 90.00
_symmetry_space_group_name_H-M 'P 1'
_symmetry_Int_Tables_number 1
loop_
_symmetry_equiv_pos_as_xyz
'x,y,z'
loop_
_atom_site_label
_atom_site_fract_x
_atom_site_fract_y
_atom_site_fract_z
Li1 0.500 0.500 0.000
Li2 0.250 0.750 0.500
B1 0.750 0.250 0.500
B2 0.000 0.000 0.000
Cd1 0.875 0.033 0.750
Cd2 0.375 0.217 0.750
Cd3 0.783 0.125 0.250
Cd4 0.967 0.625 0.250
```

Results
ΔE_f in eV per atom: 0.654
Fermi-level density of states in states/eV/cell: 0.32
Space-group type: I-42d, No. 122
ρ in g/cm³: 4.018


Below is a relaxed structure of LiCdNi2B, with properties calculated at the PBE level.

Cell and atoms, written as CIF:
```
data_LiCdNi2B
_chemical_formula_sum 'Li1 Cd1 Ni2 B1'
_cell_length_a 3.848
_cell_length_b 3.848
_cell_length_c 4.200
_cell_angle_alpha 90.00
_cell_angle_beta 90.00
_cell_angle_gamma 90.00
_symmetry_space_group_name_H-M 'P 1'
_symmetry_Int_Tables_number 1
loop_
_symmetry_equiv_pos_as_xyz
'x,y,z'
loop_
_atom_site_label
_atom_site_fract_x
_atom_site_fract_y
_atom_site_fract_z
Ni1 0.000 0.500 0.000
Ni2 0.500 0.000 0.000
Cd1 0.500 0.500 0.500
Li1 0.000 0.000 0.500
B1 0.000 0.000 0.000
```

Results
ΔE_f in eV per atom: -0.086
Fermi-level density of states in states/eV/cell: 3.26
Space-group type: P4/mmm, No. 123
ρ in g/cm³: 6.611


Below is a relaxed structure of LiCdBO3, with properties calculated at the PBE level.

Cell and atoms, written as CIF:
```
data_LiCdBO3
_chemical_formula_sum 'Li2 Cd2 B2 O6'
_cell_length_a 5.276
_cell_length_b 5.308
_cell_length_c 6.266
_cell_angle_alpha 89.76
_cell_angle_beta 111.93
_cell_angle_gamma 118.99
_symmetry_space_group_name_H-M 'P 1'
_symmetry_Int_Tables_number 1
loop_
_symmetry_equiv_pos_as_xyz
'x,y,z'
loop_
_atom_site_label
_atom_site_fract_x
_atom_site_fract_y
_atom_site_fract_z
Li1 0.569 0.637 0.336
Li2 0.431 0.363 0.664
O1 0.042 0.287 0.682
O2 0.727 0.778 0.693
O3 0.374 0.862 0.185
O4 0.958 0.713 0.318
O5 0.626 0.138 0.815
O6 0.273 0.222 0.307
B1 0.801 0.066 0.732
B2 0.199 0.934 0.268
Cd1 0.843 0.258 0.230
Cd2 0.157 0.742 0.770
```

Results
E_form (uncorrected) in eV/atom: -1.960
Fermi-level density of states in states/eV/cell: 0.00
Space-group type: P-1, No. 2
ρ in g/cm³: 4.258


Below is a relaxed structure of LiCd2BO4, with properties calculated at the PBE level.

Cell and atoms, written as CIF:
```
data_LiCd2BO4
_chemical_formula_sum 'Li2 Cd4 B2 O8'
_cell_length_a 6.679
_cell_length_b 6.679
_cell_length_c 8.557
_cell_angle_alpha 129.83
_cell_angle_beta 129.83
_cell_angle_gamma 68.63
_symmetry_space_group_name_H-M 'P 1'
_symmetry_Int_Tables_number 1
loop_
_symmetry_equiv_pos_as_xyz
'x,y,z'
loop_
_atom_site_label
_atom_site_fract_x
_atom_site_fract_y
_atom_site_fract_z
B1 0.000 0.000 0.000
B2 0.500 0.500 0.500
O1 0.174 0.838 0.006
O2 0.238 0.262 0.573
O3 0.762 0.738 0.427
O4 0.662 0.326 0.494
O5 0.762 0.738 0.073
O6 0.338 0.674 0.506
O7 0.826 0.162 0.994
O8 0.238 0.262 0.927
Li1 0.000 0.500 0.000
Li2 0.000 0.500 0.500
Cd1 0.500 0.000 0.000
Cd2 0.000 0.000 0.500
Cd3 0.500 0.500 0.000
Cd4 0.500 0.000 0.500
```

Results
E_form (uncorrected) in eV/atom: -1.455
Space-group type: Imma, No. 74
ρ in g/cm³: 4.536